1.
Material: BMoAs2Se
Method: DFT, PBE
State: optimized geometry

extended XYZ file:
```
5
Lattice="-1.030 -3.864 -1.681 2.320 0.925 -3.547 3.625 -1.793 1.903" Properties=species:S:1:pos:R:3 pbc="T T T"
Mo 2.457 -2.366 -1.663
B 0.000 0.000 0.000
As 1.160 0.462 -1.774
As -0.515 -1.932 -0.840
Se 1.812 -0.897 0.951
```

total magnetization = 2.514 μB/f.u.
energy above the most stable polymorph in this dataset = 0.000 eV per atom
E = -25.41 eV/f.u.
space group = P4/mmm, No. 123
theoretical density = 6.6 Mg/m³

***

2.
Material: TiBMoAs2
Method: DFT, PBE
State: optimized geometry

extended XYZ file:
```
5
Lattice="-3.288 -3.366 -0.848 2.231 -2.667 1.936 -2.206 1.124 4.090" Properties=species:S:1:pos:R:3 pbc="T T T"
Mo -1.631 -2.455 2.589
B 1.115 -1.334 0.968
As -1.103 0.562 2.045
As -1.644 -1.683 -0.424
Ti 0.000 0.000 0.000
```

total magnetization = 0.000 μB/f.u.
energy above the most stable polymorph in this dataset = 0.355 eV per atom
E = -28.98 eV/f.u.
space group = P4/mmm, No. 123
calculated formation energy = 1.1448 eV/atom
theoretical density = 5.6 Mg/m³

***

3.
Material: TiBMoAs2
Method: DFT, PBE
State: optimized geometry

extended XYZ file:
```
5
Lattice="4.890 0.000 0.000 0.000 4.042 0.000 0.000 0.000 4.890" Properties=species:S:1:pos:R:3 pbc="T T T"
Mo 0.000 0.000 0.000
B 0.000 2.021 0.000
As 0.000 0.000 2.445
As 2.445 0.000 0.000
Ti 2.445 2.021 2.445
```

total magnetization = 0.000 μB/f.u.
energy above the most stable polymorph in this dataset = 0.000 eV per atom
E = -30.75 eV/f.u.
space group = P4/mmm, No. 123
calculated formation energy = 0.7898 eV/atom
theoretical density = 5.2 Mg/m³

***

4.
Material: BAs2N
Method: DFT, PBE
State: optimized geometry

extended XYZ file:
```
8
Lattice="4.851 0.000 0.000 0.000 4.851 0.000 2.425 2.425 4.917" Properties=species:S:1:pos:R:3 pbc="T T T"
As 3.595 1.213 1.229
As 1.256 3.638 1.229
As 3.638 3.681 3.688
As 6.063 6.020 3.688
B 2.425 2.425 0.000
B 2.425 4.851 2.459
N 0.000 0.000 0.000
N 4.851 2.425 2.459
```

total magnetization = 0.000 μB/f.u.
energy above the most stable polymorph in this dataset = 0.000 eV per atom
E = -21.56 eV/f.u.
space group = I-42d, No. 122
theoretical density = 5.0 Mg/m³

***

5.
Material: BAsN3
Method: DFT, PBE
State: optimized geometry

extended XYZ file:
```
5
Lattice="3.432 0.000 0.000 0.000 3.432 0.000 0.000 0.000 3.432" Properties=species:S:1:pos:R:3 pbc="T T T"
As 1.716 1.716 1.716
B 0.000 0.000 0.000
N 0.000 1.716 0.000
N 0.000 0.000 1.716
N 1.716 0.000 0.000
```

total magnetization = 0.000 μB/f.u.
E = -28.23 eV/f.u.
space group = Pm-3m, No. 221
theoretical density = 5.2 Mg/m³

***

6.
Material: BAsN3
Method: DFT, PBE
State: optimized geometry

extended XYZ file:
```
5
Lattice="3.725 0.000 0.000 0.000 3.725 0.000 0.000 0.000 3.725" Properties=species:S:1:pos:R:3 pbc="T T T"
As 0.000 0.000 0.000
B 1.863 1.863 1.863
N 0.000 1.863 0.000
N 0.000 0.000 1.863
N 1.863 0.000 0.000
```

total magnetization = 2.103 μB/f.u.
E = -23.84 eV/f.u.
space group = Pm-3m, No. 221
theoretical density = 4.1 Mg/m³

***

7.
Material: BAs2N
Method: DFT, PBE
State: optimized geometry

extended XYZ file:
```
4
Lattice="1.173 -1.662 3.525 2.395 2.093 2.539 -1.497 1.410 3.512" Properties=species:S:1:pos:R:3 pbc="T T T"
As 0.518 0.460 2.394
As 1.554 1.381 7.182
B 0.000 0.000 0.000
N 1.036 0.921 4.788
```

total magnetization = 0.000 μB/f.u.
energy above the most stable polymorph in this dataset = 0.919 eV per atom
E = -17.88 eV/f.u.
space group = Fm-3m, No. 225
theoretical density = 6.1 Mg/m³

***

8.
Material: B3AsN3
Method: DFT, PBE
State: optimized geometry

extended XYZ file:
```
14
Lattice="-0.720 -1.109 4.558 -1.558 -4.293 -1.290 4.424 -1.692 0.287" Properties=species:S:1:pos:R:3 pbc="T T T"
B 2.032 -1.123 1.283
B 0.327 -2.569 -0.573
B -1.528 -3.774 1.311
B 1.672 -1.678 3.562
B 2.539 -3.415 -0.430
B -0.749 -1.628 1.956
As 1.073 -3.547 1.777
As 0.000 0.000 0.000
N 1.823 -1.919 -0.179
N 1.044 -4.065 -0.824
N 2.958 -1.823 2.494
N -1.319 -2.978 2.773
N 0.746 -0.977 2.351
N -0.959 -2.424 0.494
```

total magnetization = 0.000 μB/f.u.
E = -46.82 eV/f.u.
space group = Pm-3n, No. 223
theoretical density = 4.6 Mg/m³

***

9.
Material: BAsN2
Method: DFT, PBE
State: optimized geometry

extended XYZ file:
```
4
Lattice="-3.826 -0.702 3.643 -2.551 -3.700 2.865 -0.913 -1.680 4.974" Properties=species:S:1:pos:R:3 pbc="T T T"
As -3.645 -3.041 5.741
B 0.000 0.000 0.000
N -6.632 -5.533 10.446
N -0.658 -0.549 1.036
```

total magnetization = 0.000 μB/f.u.
energy above the most stable polymorph in this dataset = 0.000 eV per atom
E = -27.19 eV/f.u.
space group = R-3m, No. 166
theoretical density = 3.9 Mg/m³

***

10.
Material: B3AsN
Method: DFT, PBE
State: optimized geometry

extended XYZ file:
```
5
Lattice="-1.240 -3.636 -1.196 2.871 -1.715 2.237 -2.531 -0.164 3.123" Properties=species:S:1:pos:R:3 pbc="T T T"
As 0.000 0.000 0.000
B 1.435 -0.858 1.118
B -1.266 -0.082 1.561
B -0.620 -1.818 -0.598
N -0.450 -2.758 2.082
```

total magnetization = 0.000 μB/f.u.
energy above the most stable polymorph in this dataset = 0.972 eV per atom
E = -19.16 eV/f.u.
space group = Pm-3m, No. 221
theoretical density = 3.1 Mg/m³

***

11.
Material: BAsN
Method: DFT, PBE
State: optimized geometry

extended XYZ file:
```
3
Lattice="3.061 -0.554 0.000 -1.565 2.688 0.000 -0.748 -1.067 8.601" Properties=species:S:1:pos:R:3 pbc="T T T"
B 0.748 1.067 7.188
N 0.000 0.000 7.189
As 0.748 1.067 2.824
```

total magnetization = 0.000 μB/f.u.
E = -19.67 eV/f.u.
space group = Fmm2, No. 42
theoretical density = 2.6 Mg/m³

***

12.
Material: BAs3N
Method: DFT, PBE
State: optimized geometry

extended XYZ file:
```
5
Lattice="4.304 0.000 0.000 0.000 4.304 0.000 0.000 0.000 4.304" Properties=species:S:1:pos:R:3 pbc="T T T"
As 0.000 2.152 0.000
As 0.000 0.000 2.152
As 2.152 0.000 0.000
B 2.152 2.152 2.152
N 0.000 0.000 0.000
```

total magnetization = 0.000 μB/f.u.
energy above the most stable polymorph in this dataset = 0.000 eV per atom
E = -21.60 eV/f.u.
space group = Pm-3m, No. 221
theoretical density = 5.2 Mg/m³